(1)
## B2Sb2Os (PBE)

Data for a geometry-optimized B2Sb2Os structure.

Calculated values
Crystal system = tetragonal
E_form (uncorrected) = 1.0721 eV/atom
Polymorph energy (0 for the lowest one) = 0.000 eV/atom

a b c (Å): 8.233 8.233 8.233
angles (deg): 158.43 158.43 30.69
Fractional coordinates of all 5 atoms:
1 B 0.250 0.750 0.500
2 B 0.750 0.250 0.500
3 Sb 0.112 0.112 0.000
4 Sb 0.888 0.888 0.000
5 Os 0.500 0.500 0.000



(2)
## BSbOsSe2 (PBE)

Data for a geometry-optimized BSbOsSe2 structure.

Calculated values
Crystal system = tetragonal
E_form (uncorrected) = 0.8700 eV/atom

a b c (Å): 4.716 4.716 4.071
angles (deg): 90.00 90.00 90.00
Fractional coordinates of all 5 atoms:
1 B 0.000 0.000 0.000
2 Sb 0.500 0.500 0.500
3 Os 0.000 0.000 0.500
4 Se 0.000 0.500 0.000
5 Se 0.500 0.000 0.000



(3)
## BSbTe2Os (PBE)

Data for a geometry-optimized BSbTe2Os structure.

Calculated values
Crystal system = tetragonal
E_form (uncorrected) = 1.2886 eV/atom
Polymorph energy (0 for the lowest one) = 0.000 eV/atom

a b c (Å): 4.660 4.660 4.590
angles (deg): 90.00 90.00 90.00
Fractional coordinates of all 5 atoms:
1 B 0.000 0.000 0.000
2 Sb 0.000 0.000 0.500
3 Te 0.000 0.500 0.000
4 Te 0.500 0.000 0.000
5 Os 0.500 0.500 0.500



(4)
## BSb2TeOs (PBE)

Data for a geometry-optimized BSb2TeOs structure.

Calculated values
Crystal system = tetragonal
E_form (uncorrected) = 1.2811 eV/atom
Polymorph energy (0 for the lowest one) = 0.000 eV/atom

a b c (Å): 4.626 4.626 4.659
angles (deg): 90.00 90.00 90.00
Fractional coordinates of all 5 atoms:
1 B 0.000 0.000 0.000
2 Sb 0.000 0.500 0.000
3 Sb 0.500 0.000 0.000
4 Te 0.000 0.000 0.500
5 Os 0.500 0.500 0.500



(5)
## BSb2TeOs (PBE)

Data for a geometry-optimized BSb2TeOs structure.

Calculated values
Crystal system = tetragonal
E_form (uncorrected) = 1.4994 eV/atom
Polymorph energy (0 for the lowest one) = 0.218 eV/atom

a b c (Å): 5.010 5.010 5.716
angles (deg): 90.00 90.00 90.00
Fractional coordinates of all 5 atoms:
1 B 0.000 0.000 0.000
2 Sb 0.000 0.500 0.500
3 Sb 0.500 0.000 0.500
4 Te 0.500 0.500 0.000
5 Os 0.500 0.500 0.500



(6)
## BSbTe2Os (PBE)

Data for a geometry-optimized BSbTe2Os structure.

Calculated values
Crystal system = tetragonal
E_form (uncorrected) = 1.5483 eV/atom
Polymorph energy (0 for the lowest one) = 0.260 eV/atom

a b c (Å): 5.365 5.365 5.000
angles (deg): 90.00 90.00 90.00
Fractional coordinates of all 5 atoms:
1 B 0.000 0.000 0.000
2 Sb 0.500 0.500 0.000
3 Te 0.000 0.500 0.500
4 Te 0.500 0.000 0.500
5 Os 0.500 0.500 0.500



(7)
## Ti2BSbOs (PBE)

Data for a geometry-optimized Ti2BSbOs structure.

Calculated values
Crystal system = tetragonal
E_form (uncorrected) = 0.3616 eV/atom

a b c (Å): 4.854 4.854 4.061
angles (deg): 90.00 90.00 90.00
Fractional coordinates of all 5 atoms:
1 Ti 0.000 0.500 0.000
2 Ti 0.500 0.000 0.000
3 B 0.000 0.000 0.500
4 Sb 0.500 0.500 0.500
5 Os 0.000 0.000 0.000



(8)
## ScB2Os (PBE)

Data for a geometry-optimized ScB2Os structure.

Calculated values
ΔE_f = -9.4 kJ per mole of atoms
Crystal system = tetragonal
Polymorph energy (0 for the lowest one) = 0.583 eV/atom

a b c (Å): 7.546 7.546 7.546
angles (deg): 148.55 148.55 45.07
Fractional coordinates of all 8 atoms:
1 Sc 0.375 0.625 0.750
2 Sc 0.625 0.375 0.250
3 B 0.000 0.000 0.000
4 B 0.000 0.000 0.500
5 B 0.000 0.500 0.000
6 B 0.500 0.000 0.500
7 Os 0.125 0.875 0.250
8 Os 0.875 0.125 0.750



(9)
## ScB4Os (PBE)

Data for a geometry-optimized ScB4Os structure.

Calculated values
ΔE_f = -54.6 kJ per mole of atoms
Crystal system = orthorhombic

a b c (Å): 5.860 11.299 3.481
angles (deg): 90.00 90.00 90.00
Fractional coordinates of all 24 atoms:
1 Sc 0.129 0.150 0.000
2 Sc 0.371 0.650 0.000
3 Sc 0.629 0.350 0.000
4 Sc 0.871 0.850 0.000
5 B 0.021 0.695 0.500
6 B 0.115 0.549 0.500
7 B 0.133 0.971 0.500
8 B 0.204 0.813 0.500
9 B 0.296 0.313 0.500
10 B 0.367 0.471 0.500
11 B 0.385 0.049 0.500
12 B 0.479 0.195 0.500
13 B 0.521 0.805 0.500
14 B 0.615 0.951 0.500
15 B 0.633 0.529 0.500
16 B 0.704 0.687 0.500
17 B 0.796 0.187 0.500
18 B 0.867 0.029 0.500
19 B 0.885 0.451 0.500
20 B 0.979 0.305 0.500
21 Os 0.144 0.405 0.000
22 Os 0.356 0.905 0.000
23 Os 0.644 0.095 0.000
24 Os 0.856 0.595 0.000



(10)
## Sc3BOs (PBE)

Data for a geometry-optimized Sc3BOs structure.

Calculated values
ΔE_f = 76.8 kJ per mole of atoms
Crystal system = cubic
Polymorph energy (0 for the lowest one) = 0.649 eV/atom

a b c (Å): 4.948 4.948 4.948
angles (deg): 90.00 90.00 90.00
Fractional coordinates of all 5 atoms:
1 Sc 0.000 0.000 0.500
2 Sc 0.000 0.500 0.000
3 Sc 0.500 0.000 0.000
4 B 0.500 0.500 0.500
5 Os 0.000 0.000 0.000



(11)
## Sc3BOs (PBE)

Data for a geometry-optimized Sc3BOs structure.

Calculated values
ΔE_f = 14.3 kJ per mole of atoms
Crystal system = cubic
Polymorph energy (0 for the lowest one) = 0.000 eV/atom

a b c (Å): 4.506 4.506 4.506
angles (deg): 90.00 90.00 90.00
Fractional coordinates of all 5 atoms:
1 Sc 0.000 0.000 0.500
2 Sc 0.000 0.500 0.000
3 Sc 0.500 0.000 0.000
4 B 0.000 0.000 0.000
5 Os 0.500 0.500 0.500



(12)
## Sc2BOs2 (PBE)

Data for a geometry-optimized Sc2BOs2 structure.

Calculated values
ΔE_f = -20.9 kJ per mole of atoms
Crystal system = tetragonal

a b c (Å): 5.911 5.911 4.453
angles (deg): 90.00 90.00 90.00
Fractional coordinates of all 10 atoms:
1 Sc 0.167 0.333 0.000
2 Sc 0.333 0.833 0.000
3 Sc 0.667 0.167 0.000
4 Sc 0.833 0.667 0.000
5 B 0.000 0.000 0.500
6 B 0.500 0.500 0.500
7 Os 0.159 0.659 0.500
8 Os 0.341 0.159 0.500
9 Os 0.659 0.841 0.500
10 Os 0.841 0.341 0.500